First-principles (PBE) data for a relaxed structure of CrTeAu, as listed in Alexandria.

Unit cell a=3.6617 b=3.6617 c=9.1291 alpha=90.00 beta=90.00 gamma=90.00
With the nearest neighbours (Å) after each atom.
Space group I4mm (No. 107)
One atom of each set of equivalent atoms:
Cr 0.0000 0.0000 0.0000 [2 per cell]  4 Te 2.87, 5 Au 2.99-3.03
Te 0.0000 0.0000 0.6352 [2 per cell]  5 Au 2.81-3.13, 4 Cr 2.87
Au 0.0000 0.0000 0.3279 [2 per cell]  5 Te 2.81-3.13, 5 Cr 2.99-3.03

Properties
Density: 10.22 g cm⁻³
N(E_F): 2.9 states/eV per cell
Polymorph energy (0 for the lowest one): 0.124 eV per atom
Magnetic moment: 7.17 Bohr magnetons per cell
Formation energy (no corrections): 207 meV per atom

=====

First-principles (PBE) data for a relaxed structure of CrTe2Au, as listed in Alexandria.

Unit cell a=4.2785 b=7.1678 c=7.1787 alpha=78.20 beta=73.22 gamma=87.15
With the nearest neighbours (Å) after each atom.
Space group P1 (No. 1)
One atom of each set of equivalent atoms:
Cr 0.0000 0.0000 0.0000 [1 per cell]  1 Cr 1.87
Cr 0.1138 0.1026 0.7280 [1 per cell]  1 Cr 1.87
Te 0.0385 0.4758 0.6351 [1 per cell]  1 Cr 2.65, 2 Au 2.68-2.80
Te 0.4524 0.7968 0.1327 [1 per cell]  2 Cr 2.64-2.65, 1 Au 2.68
Te 0.7021 0.9745 0.5614 [1 per cell]  2 Cr 2.66-2.68, 1 Te 2.98
Te 0.8868 0.2804 0.1978 [1 per cell]  1 Cr 2.64, 2 Au 2.86-2.93
Au 0.2604 0.6598 0.8622 [1 per cell]  2 Te 2.68, 1 Cr 2.87, 1 Au 2.96
Au 0.5138 0.2663 0.9168 [1 per cell]  3 Te 2.80-2.93, 4 Cr 2.83-2.89, 1 Au 2.96

Properties
Density: 8.12 g cm⁻³
N(E_F): 5.3 states/eV per cell
Polymorph energy (0 for the lowest one): 0.186 eV per atom
Magnetic moment: 0.00 Bohr magnetons per cell
Formation energy (no corrections): 67 meV per atom

=====

First-principles (PBE) data for a relaxed structure of CrTe2Au, as listed in Alexandria.

Unit cell a=7.0957 b=7.0957 c=7.0957 alpha=90.00 beta=90.00 gamma=90.00
With the nearest neighbours (Å) after each atom.
Space group Fm-3m (No. 225)
One atom of each set of equivalent atoms:
Cr 0.0000 0.0000 0.0000 [4 per cell]  8 Te 3.07
Te 0.2500 0.2500 0.2500 [8 per cell]  4 Cr 3.07, 4 Au 3.07
Au 0.0000 0.0000 0.5000 [4 per cell]  8 Te 3.07

Properties
Density: 9.37 g cm⁻³
N(E_F): 7.2 states/eV per cell
Polymorph energy (0 for the lowest one): 0.447 eV per atom
Magnetic moment: 12.52 Bohr magnetons per cell
Formation energy (no corrections): 328 meV per atom

=====

First-principles (PBE) data for a relaxed structure of CrTeAu, as listed in Alexandria.

Unit cell a=12.5552 b=3.4421 c=5.9253 alpha=90.00 beta=90.00 gamma=90.00
With the nearest neighbours (Å) after each atom.
Space group Amm2 (No. 38)
One atom of each set of equivalent atoms:
Cr 0.0000 0.0000 0.0000 [2 per cell]  6 Te 2.62-2.63
Cr 0.5000 0.0000 0.1471 [2 per cell]  6 Au 2.68-2.74
Te 0.1373 0.0000 0.3323 [4 per cell]  3 Cr 2.62-2.63
Au 0.3542 0.0000 0.8037 [4 per cell]  3 Cr 2.68-2.74

Properties
Density: 9.77 g cm⁻³
N(E_F): 7.3 states/eV per cell
Polymorph energy (0 for the lowest one): 0.139 eV per atom
Magnetic moment: 7.94 Bohr magnetons per cell
Formation energy (no corrections): 223 meV per atom

=====

First-principles (PBE) data for a relaxed structure of CrTe2Au, as listed in Alexandria.

Unit cell a=4.4789 b=6.8534 c=7.3964 alpha=70.56 beta=74.38 gamma=71.45
With the nearest neighbours (Å) after each atom.
Space group P1 (No. 1)
One atom of each set of equivalent atoms:
Cr 0.0000 0.0000 0.0000 [1 per cell]  1 Cr 2.43, 1 Te 2.69
Cr 0.1861 0.9032 0.3051 [1 per cell]  1 Cr 2.43, 2 Te 2.69-2.71
Te 0.1260 0.4263 0.8584 [1 per cell]  2 Au 2.82-2.94, 1 Te 2.86, 1 Cr 2.94
Te 0.4656 0.2308 0.1773 [1 per cell]  2 Cr 2.69, 1 Te 2.86
Te 0.7883 0.0777 0.5896 [1 per cell]  1 Cr 2.71, 2 Au 2.80-2.83
Te 0.7938 0.6439 0.3725 [1 per cell]  2 Cr 2.72-2.81, 2 Au 2.73-2.89
Au 0.3792 0.8077 0.6914 [1 per cell]  1 Au 2.75, 4 Te 2.80-2.94, 2 Cr 2.88-3.01
Au 0.6136 0.7165 0.0261 [1 per cell]  2 Te 2.73-2.82, 1 Au 2.75, 3 Cr 2.76-2.92

Properties
Density: 8.39 g cm⁻³
N(E_F): 3.7 states/eV per cell
Polymorph energy (0 for the lowest one): 0.189 eV per atom
Magnetic moment: 0.52 Bohr magnetons per cell
Formation energy (no corrections): 70 meV per atom

=====

First-principles (PBE) data for a relaxed structure of CrTe2Au, as listed in Alexandria.

Unit cell a=4.4860 b=4.5675 c=9.5008 alpha=90.00 beta=90.00 gamma=90.00
With the nearest neighbours (Å) after each atom.
Space group Cmm2 (No. 35)
One atom of each set of equivalent atoms:
Cr 0.0000 0.0000 0.0000 [2 per cell]  4 Au 2.83-2.86, 4 Te 2.83-2.86
Te 0.0000 0.0000 0.5693 [2 per cell]  4 Te 3.20, 4 Au 3.26-3.29
Te 0.0000 0.5000 0.1814 [2 per cell]  4 Cr 2.83-2.86
Au 0.0000 0.5000 0.8189 [2 per cell]  4 Cr 2.83-2.86

Properties
Density: 8.60 g cm⁻³
N(E_F): 4.5 states/eV per cell
Polymorph energy (0 for the lowest one): 0.292 eV per atom
Magnetic moment: 6.76 Bohr magnetons per cell
Formation energy (no corrections): 173 meV per atom

=====

First-principles (PBE) data for a relaxed structure of CrTe2Au, as listed in Alexandria.

Unit cell a=6.3048 b=8.0417 c=5.0753 alpha=90.00 beta=127.59 gamma=90.00
With the nearest neighbours (Å) after each atom.
Space group C2/m (No. 12)
One atom of each set of equivalent atoms:
Cr 0.0000 0.0000 0.0000 [2 per cell]  4 Te 2.84, 2 Au 3.15
Te 0.2500 0.2500 0.5000 [4 per cell]  2 Cr 2.84, 2 Au 2.84, 2 Te 3.15
Au 0.0000 0.5000 0.0000 [2 per cell]  4 Te 2.84, 2 Cr 3.15

Properties
Density: 8.21 g cm⁻³
N(E_F): 3.9 states/eV per cell
Polymorph energy (0 for the lowest one): 0.279 eV per atom
Magnetic moment: 8.41 Bohr magnetons per cell
Formation energy (no corrections): 159 meV per atom

=====

First-principles (PBE) data for a relaxed structure of CrTeAu4, as listed in Alexandria.

Unit cell a=7.8882 b=7.8882 c=7.8882 alpha=90.00 beta=90.00 gamma=90.00
With the nearest neighbours (Å) after each atom.
Space group F-43m (No. 216)
One atom of each set of equivalent atoms:
Cr 0.0000 0.0000 0.0000 [4 per cell]  12 Au 3.27, 4 Te 3.42
Te 0.2500 0.2500 0.7500 [4 per cell]  12 Au 3.27, 4 Cr 3.42
Au 0.1255 0.1255 0.3745 [16 per cell]  6 Au 2.78-2.80

Properties
Density: 13.09 g cm⁻³
N(E_F): 9.0 states/eV per cell
Magnetic moment: 16.73 Bohr magnetons per cell
Formation energy (no corrections): 200 meV per atom